A plane-wave DFT calculation with PBE was carried out for an optimized crystal structure of ReSnSbW2.

Cell lengths 4.9486, 4.9486, 4.8799 Å; angles 90.00, 90.00, 90.00 degrees
Closest atoms and distances in Å follow each position.
Space group P4/mmm (No. 123)
Inequivalent atoms, fractional coordinates:
Re1 0.0000 0.0000 0.0000  2 Sn 2.44
Sn1 0.0000 0.0000 0.5000  2 Re 2.44, 4 W 2.47
Sb1 0.5000 0.5000 0.0000  8 W 3.47, 4 Re 3.50
W1 0.0000 0.5000 0.5000  2 Sn 2.47

Values from the calculation:
Total moment: 0.46 μB per cell
Energy: -6.671 eV/atom



A plane-wave DFT calculation with PBE was carried out for an optimized crystal structure of Zr2ReSnSb.

Cell lengths 5.2748, 5.2748, 4.8729 Å; angles 90.00, 90.00, 90.00 degrees
Closest atoms and distances in Å follow each position.
Space group P4/mmm (No. 123)
Inequivalent atoms, fractional coordinates:
Zr1 0.0000 0.5000 0.0000  2 Sn 2.64
Re1 0.0000 0.0000 0.5000  2 Sn 2.44
Sn1 0.0000 0.0000 0.0000  2 Re 2.44, 4 Zr 2.64
Sb1 0.5000 0.5000 0.5000  8 Zr 3.59, 4 Re 3.73

Values from the calculation:
Total moment: 0.54 μB per cell
Energy: -6.301 eV/atom



A plane-wave DFT calculation with PBE was carried out for an optimized crystal structure of SrReSb2.

Cell lengths 12.1360, 3.3657, 6.2265 Å; angles 90.00, 120.06, 90.00 degrees
Closest atoms and distances in Å follow each position.
Space group Cm (No. 8)
Inequivalent atoms, fractional coordinates:
Sr1 0.0000 0.0000 0.0000  3 Re 3.22-3.32, 2 Sr 3.37, 4 Sb 3.49-3.60
Re1 0.2432 0.5000 0.0322  4 Sb 2.67-2.68
Sb1 0.1608 0.0000 0.6468  2 Re 2.68
Sb2 0.3435 0.0000 0.4162  2 Re 2.67

Values from the calculation:
Total moment: 0.93 μB per cell
Energy: -5.459 eV/atom